Entry 1:
Here is Zn2CuIr at its PBEsol-relaxed geometry from Alexandria via LeMat-Bulk. Energies are from meta-GGA SCAN.

Unit cell a=2.7223 b=2.7223 c=8.3775 alpha=80.65 beta=80.65 gamma=60.00
Last column: nearest neighbours and their distance in Å.
Sites, in units of the cell vectors:
Cu1 0.5000 0.5000 0.5000  6 Zn 2.55, 6 Cu 2.72
Ir1 0.0000 0.0000 0.0000  6 Zn 2.63, 6 Ir 2.72
Zn1 0.2478 0.2478 0.2564  3 Cu 2.55, 3 Ir 2.63, 6 Zn 2.72
Zn2 0.7522 0.7522 0.7436  3 Cu 2.55, 3 Ir 2.63, 6 Zn 2.72

The value obtained for the formation energy is -0.11 eV/atom.

Entry 2:
Here is ZnCu2Ir at its PBEsol-relaxed geometry from Alexandria via LeMat-Bulk. Energies are from meta-GGA SCAN.

Unit cell a=2.7365 b=4.3534 c=4.5803 alpha=103.42 beta=107.38 gamma=90.00
Last column: nearest neighbours and their distance in Å.
Sites, in units of the cell vectors:
Zn1 0.0000 0.5000 0.0000  4 Ir 2.57, 6 Cu 2.58-2.68, 2 Zn 2.74
Ir1 0.5000 0.0000 0.0000  4 Zn 2.57, 6 Cu 2.59-2.66, 2 Ir 2.74
Cu1 0.2509 0.2493 0.5017  6 Cu 2.56-2.74, 3 Zn 2.58-2.68, 3 Ir 2.59-2.66
Cu2 0.7491 0.7507 0.4983  6 Cu 2.56-2.74, 3 Zn 2.58-2.68, 3 Ir 2.59-2.66

The value obtained for the formation energy is -0.02 eV/atom.

Entry 3:
Here is Zn2CuIr at its PBEsol-relaxed geometry from Alexandria via LeMat-Bulk. Energies are from meta-GGA SCAN.

Unit cell a=3.7099 b=3.7099 c=4.6019 alpha=113.77 beta=113.77 gamma=90.00
Last column: nearest neighbours and their distance in Å.
Sites, in units of the cell vectors:
Zn1 0.0000 0.0000 0.0000  4 Cu 2.62, 4 Ir 2.65, 4 Zn 2.65
Zn2 0.7500 0.2500 0.5000  4 Ir 2.62, 4 Cu 2.65, 4 Zn 2.65
Ir1 0.2500 0.7500 0.5000  8 Zn 2.62-2.65, 4 Cu 2.65
Cu1 0.5000 0.5000 0.0000  8 Zn 2.62-2.65, 4 Ir 2.65

The value obtained for the formation energy is -0.12 eV/atom.